A crystal of LiMo3Au relaxed with PBEsol. Source: Alexandria, functional meta-GGA SCAN.

Energy above the lowest structure with this stoichiometry = 0 meV per atom

Lattice parameters (Å, degrees): 4.166 4.166 4.166 90.00 90.00 90.00
Space group Pm-3m (No. 221)
Asymmetric unit:
Li1 0.000 0.000 0.000 x1
Mo1 0.000 0.000 0.500 x3
Au1 0.500 0.500 0.500 x1

---

A crystal of Li2MoAu relaxed with PBEsol. Source: Alexandria, functional meta-GGA SCAN.

Lattice parameters (Å, degrees): 2.610 4.606 5.018 90.00 92.25 90.00
Space group P2/m (No. 10)
Asymmetric unit:
Li1 0.145 0.000 0.245 x2
Mo1 0.500 0.500 0.000 x1
Au1 0.000 0.500 0.500 x1

---

A crystal of LiMo2Au relaxed with PBEsol. Source: Alexandria, functional meta-GGA SCAN.

Energy above the lowest structure with this stoichiometry = 106 meV per atom

Lattice parameters (Å, degrees): 2.617 4.637 5.066 90.00 104.01 90.00
Space group P2/m (No. 10)
Asymmetric unit:
Li1 0.000 0.000 0.000 x1
Mo1 0.489 0.500 0.239 x2
Au1 0.000 0.000 0.500 x1

---

| no. | size of the total moment (μB per cell) | raw total energy (eV per atom) |
| --- | --- | --- |
| 1 | 0.000 | -34.087 |
| 2 | 1.094 | -27.140 |
| 3 | 0.000 | -35.161 |